# Mg2NiWO6 | Alexandria via LeMat-Bulk | GGA+U | relaxed
# polymorph energy (0 for the lowest one)	0	meV/atom
# DOS at the Fermi energy	0.00	states/eV/f.u.
# calculated total energy	-6.40	eV per atom
data_Mg2NiWO6
_chemical_formula_sum 'Mg6 Ni3 W3 O18'
_space_group_name_H-M_alt 'R 3'
_space_group_IT_number 146
_space_group_name_Hall 'R 3'
_cell_length_a 5.1835
_cell_length_b 5.1835
_cell_length_c 13.9944
_cell_angle_alpha 90.00
_cell_angle_beta 90.00
_cell_angle_gamma 120.00
loop_
_atom_site_label
_atom_site_type_symbol
_atom_site_fract_x
_atom_site_fract_y
_atom_site_fract_z
Mg1 Mg 0.0000 0.0000 0.0000
Mg2 Mg 0.0000 0.0000 0.4990
Ni1 Ni 0.0000 0.0000 0.2088
W1 W 0.0000 0.0000 0.7031
O1 O 0.0327 0.3358 0.7727
O2 O 0.0441 0.6768 0.2784